A relaxed structure of Li2InCu2Pd5, computed with PBE.

## Properties
- Theoretical density: 8114 kg/m3
- Crystal system: tetragonal
- Symmetry: P4/mbm (127)
- Total DFT energy (no corrections): -86.9 eV for the cell shown
- DFT formation energy: -2.75 eV/f.u.

Unit cell a=8.964 b=8.964 c=4.014 alpha=90.00 beta=90.00 gamma=90.00
Positions (direct):
Li 0.170 0.330 0.000
Li 0.330 0.830 0.000
Li 0.670 0.170 0.000
Li 0.830 0.670 0.000
In 0.000 0.000 0.000
In 0.500 0.500 0.000
Cu 0.123 0.623 0.000
Cu 0.377 0.123 0.000
Cu 0.623 0.877 0.000
Cu 0.877 0.377 0.000
Pd 0.000 0.500 0.500
Pd 0.079 0.797 0.500
Pd 0.203 0.079 0.500
Pd 0.297 0.579 0.500
Pd 0.421 0.297 0.500
Pd 0.500 0.000 0.500
Pd 0.579 0.703 0.500
Pd 0.703 0.421 0.500
Pd 0.797 0.921 0.500
Pd 0.921 0.203 0.500